1.
Material: CrC3
Method: DFT, PBE-GGA
State: relaxed

```
CrC3
1.0
1.151 -2.881 0.000
1.151 2.881 0.000
0.000 0.000 5.509
Cr C
1 3
Cartesian
0.000 0.000 0.000
0.000 0.000 2.755
1.151 0.000 1.725
1.151 0.000 3.784
```

Computed properties:
The total energy comes out at -7.505 eV per atom. Its calculated formation energy is 1.82 eV/atom. Its space group is Cmmm, No. 65. For the density of states at the Fermi level, the calculation gives 2.62 states/eV/f.u.


2.
Material: CrC
Method: DFT, PBE-GGA
State: relaxed

```
CrC
1.0
4.731 -1.429 0.000
4.731 1.429 0.000
-2.271 0.000 4.188
Cr C
3 3
Cartesian
0.000 0.000 0.000
-0.517 0.000 2.608
6.899 0.000 0.634
0.982 0.000 3.898
3.549 0.000 1.250
5.102 0.000 1.441
```

Computed properties:
The total energy comes out at -8.880 eV per atom. Its calculated formation energy is 0.54 eV/atom. Its space group is Cm, No. 8. For the density of states at the Fermi level, the calculation gives 1.79 states/eV/f.u.